The following is a DFT calculation (GGA-PBE) of crystalline YZn3 at its relaxed geometry.

Unit cell a=6.695 b=4.389 c=10.110 alpha=90.00 beta=90.00 gamma=90.00
Space group Pnma (No. 62)
Asymmetric unit:
Y: 0.220 0.250 0.160 [4 per cell]
Zn: 0.036 0.750 0.394 [4 per cell]
Zn: 0.083 0.250 0.853 [4 per cell]
Zn: 0.220 0.750 0.956 [4 per cell]

Output
ΔE_f in eV/f.u.: -1.5

=====

The following is a DFT calculation (GGA-PBE) of crystalline YZn at its relaxed geometry.

Unit cell a=3.738 b=11.279 c=4.485 alpha=90.00 beta=90.00 gamma=90.00
Space group Cmcm (No. 63)
Asymmetric unit:
Y: 0.000 0.151 0.250 [4 per cell]
Zn: 0.000 0.430 0.250 [4 per cell]

Output
ΔE_f in eV/f.u.: -0.6

=====

The following is a DFT calculation (GGA-PBE) of crystalline Y3Zn at its relaxed geometry.

Unit cell a=4.772 b=4.772 c=4.772 alpha=90.00 beta=90.00 gamma=90.00
Space group Pm-3m (No. 221)
Asymmetric unit:
Y: 0.000 0.000 0.500 [3 per cell]
Zn: 0.500 0.500 0.500 [1 per cell]

Output
ΔE_f in eV/f.u.: -0.1

=====

The following is a DFT calculation (GGA-PBE) of crystalline Y3Zn2 at its relaxed geometry.

Unit cell a=12.473 b=3.561 c=11.313 alpha=90.00 beta=92.45 gamma=90.00
Space group Cm (No. 8)
Asymmetric unit:
Y: 0.000 0.000 0.000 [2 per cell]
Y: 0.056 0.500 0.488 [2 per cell]
Y: 0.121 0.000 0.740 [2 per cell]
Y: 0.262 0.000 0.062 [2 per cell]
Y: 0.320 0.500 0.569 [2 per cell]
Y: 0.406 0.500 0.280 [2 per cell]
Zn: 0.109 0.500 0.212 [2 per cell]
Zn: 0.216 0.000 0.354 [2 per cell]
Zn: 0.293 0.500 0.848 [2 per cell]
Zn: 0.426 0.000 0.771 [2 per cell]

Output
ΔE_f in eV/f.u.: -0.8

=====

The following is a DFT calculation (GGA-PBE) of crystalline YZn at its relaxed geometry.

Unit cell a=4.7363 b=4.7363 c=7.1929 alpha=90.00 beta=90.00 gamma=120.00
Space group P-6m2 (No. 187)
Asymmetric unit:
Y: 0.0000 0.0000 0.0000 [1 per cell]
Y: 0.3333 0.6667 0.2732 [2 per cell]
Zn: 0.0000 0.0000 0.5000 [1 per cell]
Zn: 0.6667 0.3333 0.0000 [1 per cell]
Zn: 0.6667 0.3333 0.5000 [1 per cell]

Output
ΔE_f in eV/f.u.: -0.4

=====

The following is a DFT calculation (GGA-PBE) of crystalline YZn at its relaxed geometry.

Unit cell a=3.6137 b=3.6137 c=8.9824 alpha=90.00 beta=90.00 gamma=120.00
Space group P-3m1 (No. 164)
Asymmetric unit:
Y: 0.3333 0.6667 0.3375 [2 per cell]
Zn: 0.3333 0.6667 0.9100 [2 per cell]

Output
ΔE_f in eV/f.u.: 0.0

=====

The following is a DFT calculation (GGA-PBE) of crystalline Y3Zn2 at its relaxed geometry.

Unit cell a=3.582 b=3.582 c=19.449 alpha=90.00 beta=90.00 gamma=90.00
Space group P4/mmm (No. 123)
Asymmetric unit:
Y: 0.000 0.000 0.000 [1 per cell]
Y: 0.000 0.000 0.183 [2 per cell]
Y: 0.000 0.000 0.367 [2 per cell]
Y: 0.500 0.500 0.500 [1 per cell]
Zn: 0.500 0.500 0.093 [2 per cell]
Zn: 0.500 0.500 0.275 [2 per cell]

Output
ΔE_f in eV/f.u.: -1.4

=====

The following is a DFT calculation (GGA-PBE) of crystalline Y2Zn at its relaxed geometry.

Unit cell a=3.766 b=12.964 c=6.740 alpha=90.00 beta=90.00 gamma=90.00
Space group Cmc2_1 (No. 36)
Asymmetric unit:
Y: 0.000 0.023 0.000 [4 per cell]
Y: 0.000 0.295 0.795 [4 per cell]
Zn: 0.000 0.378 0.226 [4 per cell]

Output
ΔE_f in eV/f.u.: -0.5

=====

The following is a DFT calculation (GGA-PBE) of crystalline Y5Zn4 at its relaxed geometry.

Unit cell a=8.8458 b=8.8458 c=6.5567 alpha=90.00 beta=90.00 gamma=120.00
Space group P6_3/mcm (No. 193)
Asymmetric unit:
Y: 0.0000 0.2856 0.2500 [6 per cell]
Y: 0.3333 0.6667 0.0000 [4 per cell]
Zn: 0.0000 0.0000 0.0000 [2 per cell]
Zn: 0.0000 0.3766 0.7500 [6 per cell]

Output
Energy above the lowest structure with this stoichiometry in meV per atom: 0
ΔE_f in eV/f.u.: -2.1

=====

The following is a DFT calculation (GGA-PBE) of crystalline YZn at its relaxed geometry.

Unit cell a=4.9146 b=4.9146 c=14.0246 alpha=90.00 beta=90.00 gamma=120.00
Space group P-3m1 (No. 164)
Asymmetric unit:
Y: 0.0000 0.0000 0.2132 [2 per cell]
Y: 0.3333 0.6667 0.0599 [2 per cell]
Y: 0.3333 0.6667 0.4178 [2 per cell]
Zn: 0.0000 0.0000 0.4128 [2 per cell]
Zn: 0.3333 0.6667 0.6621 [2 per cell]
Zn: 0.3333 0.6667 0.8528 [2 per cell]

Output
ΔE_f in eV/f.u.: -0.4

=====

The following is a DFT calculation (GGA-PBE) of crystalline Y2Zn at its relaxed geometry.

Unit cell a=3.6242 b=3.6242 c=7.3848 alpha=90.00 beta=90.00 gamma=120.00
Space group P-3m1 (No. 164)
Asymmetric unit:
Y: 0.3333 0.6667 0.2005 [2 per cell]
Zn: 0.0000 0.0000 0.5000 [1 per cell]

Output
ΔE_f in eV/f.u.: -0.3

=====

The following is a DFT calculation (GGA-PBE) of crystalline Y3Zn2 at its relaxed geometry.

Unit cell a=4.766 b=6.519 c=8.119 alpha=90.00 beta=90.00 gamma=90.00
Space group Immm (No. 71)
Asymmetric unit:
Y: 0.000 0.000 0.000 [2 per cell]
Y: 0.000 0.500 0.201 [4 per cell]
Zn: 0.000 0.200 0.500 [4 per cell]

Output
ΔE_f in eV/f.u.: -1.1

=====

The following is a DFT calculation (GGA-PBE) of crystalline YZn at its relaxed geometry.

Unit cell a=3.554 b=4.911 c=10.442 alpha=90.00 beta=90.00 gamma=90.00
Space group Imma (No. 74)
Asymmetric unit:
Y: 0.000 0.250 0.110 [4 per cell]
Zn: 0.000 0.250 0.658 [4 per cell]

Output
ΔE_f in eV/f.u.: -0.5

=====

The following is a DFT calculation (GGA-PBE) of crystalline Y3Zn at its relaxed geometry.

Unit cell a=5.229 b=6.743 c=6.182 alpha=90.00 beta=90.00 gamma=90.00
Space group Pmmn (No. 59, origin choice 2)
Asymmetric unit:
Y: 0.250 0.008 0.163 [4 per cell]
Y: 0.250 0.250 0.626 [2 per cell]
Zn: 0.250 0.750 0.666 [2 per cell]

Output
ΔE_f in eV/f.u.: -0.1

=====

The following is a DFT calculation (GGA-PBE) of crystalline YZn at its relaxed geometry.

Unit cell a=4.288 b=4.288 c=10.046 alpha=90.00 beta=90.00 gamma=90.00
Space group I4_1/amd (No. 141, origin choice 2)
Asymmetric unit:
Y: 0.000 0.250 0.375 [4 per cell]
Zn: 0.000 0.250 0.875 [4 per cell]

Output
ΔE_f in eV/f.u.: -0.3

=====

The following is a DFT calculation (GGA-PBE) of crystalline YZn at its relaxed geometry.

Unit cell a=5.774 b=5.774 c=5.774 alpha=90.00 beta=90.00 gamma=90.00
Space group P2_13 (No. 198)
Asymmetric unit:
Y: 0.067 0.433 0.567 [4 per cell]
Zn: 0.079 0.921 0.421 [4 per cell]

Output
ΔE_f in eV/f.u.: -0.4

=====

The following is a DFT calculation (GGA-PBE) of crystalline Y4Zn5 at its relaxed geometry.

Unit cell a=8.7195 b=8.7195 c=6.2175 alpha=90.00 beta=90.00 gamma=120.00
Space group P6_3/mcm (No. 193)
Asymmetric unit:
Y: 0.0000 0.0000 0.0000 [2 per cell]
Y: 0.0000 0.3692 0.2500 [6 per cell]
Zn: 0.0000 0.3027 0.7500 [6 per cell]
Zn: 0.3333 0.6667 0.0000 [4 per cell]

Output
Energy above the lowest structure with this stoichiometry in meV per atom: 0
ΔE_f in eV/f.u.: -2.2

=====

The following is a DFT calculation (GGA-PBE) of crystalline Y3Zn2 at its relaxed geometry.

Unit cell a=4.9783 b=4.9783 c=6.1296 alpha=90.00 beta=90.00 gamma=120.00
Space group P-3m1 (No. 164)
Asymmetric unit:
Y: 0.0000 0.0000 0.0000 [1 per cell]
Y: 0.3333 0.6667 0.3437 [2 per cell]
Zn: 0.3333 0.6667 0.8457 [2 per cell]

Output
ΔE_f in eV/f.u.: -0.8

=====

The following is a DFT calculation (GGA-PBE) of crystalline Y3Zn5 at its relaxed geometry.

Unit cell a=9.1276 b=9.1276 c=4.9247 alpha=90.00 beta=90.00 gamma=120.00
Space group P6_3/mcm (No. 193)
Asymmetric unit:
Y: 0.0000 0.3718 0.2500 [6 per cell]
Zn: 0.0000 0.1783 0.7500 [6 per cell]
Zn: 0.3333 0.6667 0.0000 [4 per cell]

Output
Energy above the lowest structure with this stoichiometry in meV per atom: 168
ΔE_f in eV/f.u.: -1.0

=====

The following is a DFT calculation (GGA-PBE) of crystalline YZn at its relaxed geometry.

Unit cell a=5.2483 b=5.2483 c=8.0468 alpha=90.00 beta=90.00 gamma=120.00
Space group P6_3/mmc (No. 194)
Asymmetric unit:
Y: 0.0000 0.0000 0.2500 [2 per cell]
Y: 0.3333 0.6667 0.2500 [2 per cell]
Zn: 0.3333 0.6667 0.6010 [4 per cell]

Output
ΔE_f in eV/f.u.: 0.3

=====

The following is a DFT calculation (GGA-PBE) of crystalline Y3Zn at its relaxed geometry.

Unit cell a=10.7030 b=10.7030 c=3.3821 alpha=90.00 beta=90.00 gamma=120.00
Space group R-3m (No. 166, hexagonal axes)
Asymmetric unit:
Y: 0.0000 0.5000 0.0000 [9 per cell]
Zn: 0.0000 0.0000 0.0000 [3 per cell]

Output
ΔE_f in eV/f.u.: 0.4

=====

The following is a DFT calculation (GGA-PBE) of crystalline YZn at its relaxed geometry.

Unit cell a=5.806 b=5.806 c=5.963 alpha=90.00 beta=90.00 gamma=90.00
Space group P4_2/mnm (No. 136)
Asymmetric unit:
Y: 0.207 0.207 0.000 [4 per cell]
Zn: 0.191 0.191 0.500 [4 per cell]

Output
ΔE_f in eV/f.u.: -0.2

=====

The following is a DFT calculation (GGA-PBE) of crystalline YZn at its relaxed geometry.

Unit cell a=6.483 b=6.483 c=6.483 alpha=90.00 beta=90.00 gamma=90.00
Space group F-43m (No. 216)
Asymmetric unit:
Y: 0.000 0.000 0.000 [4 per cell]
Zn: 0.250 0.250 0.750 [4 per cell]

Output
ΔE_f in eV/f.u.: 1.2

=====

The following is a DFT calculation (GGA-PBE) of crystalline YZn3 at its relaxed geometry.

Unit cell a=3.446 b=4.495 c=5.229 alpha=90.00 beta=90.19 gamma=90.00
Space group P2/m (No. 10)
Asymmetric unit:
Y: 0.000 0.000 0.000 [1 per cell]
Zn: 0.499 0.500 0.749 [2 per cell]
Zn: 0.500 0.000 0.500 [1 per cell]

Output
ΔE_f in eV/f.u.: -0.8

=====

The following is a DFT calculation (GGA-PBE) of crystalline YZn at its relaxed geometry.

Unit cell a=3.4830 b=3.4830 c=10.3964 alpha=90.00 beta=90.00 gamma=120.00
Space group P6_3mc (No. 186)
Asymmetric unit:
Y: 0.3333 0.6667 0.0000 [2 per cell]
Zn: 0.3333 0.6667 0.2856 [2 per cell]

Output
ΔE_f in eV/f.u.: 0.5